1 | This record from the Alexandria database describes crystalline NbPRuO2 at its relaxed geometry. The functional is GGA-PBE.

The density of states at the Fermi level is 0.777 states/eV per atom.

abc: 3.8347 3.8347 5.4673
angles: 90.00 90.00 90.00
Last column: nearest neighbours and their distance in Å.
Fractional positions:
1 P 0.0000 0.0000 0.5000  4 Ru 2.71, 2 Nb 2.73
2 Ru 0.5000 0.5000 0.5000  4 P 2.71
3 O 0.0000 0.5000 0.0000  2 Nb 1.92
4 O 0.5000 0.0000 0.0000  2 Nb 1.92
5 Nb 0.0000 0.0000 0.0000  4 O 1.92

=====

2 | This record from the Alexandria database describes crystalline NbPRuO2 at its relaxed geometry. The functional is GGA-PBE.

The density of states at the Fermi level is 0.986 states/eV per atom.

abc: 3.7544 3.7544 5.2230
angles: 90.00 90.00 90.00
Last column: nearest neighbours and their distance in Å.
Fractional positions:
1 Nb 0.5000 0.5000 0.5000  4 P 2.65
2 Ru 0.0000 0.0000 0.0000  4 O 1.88
3 P 0.0000 0.0000 0.5000  2 Ru 2.61, 4 Nb 2.65
4 O 0.0000 0.5000 0.0000  2 Ru 1.88
5 O 0.5000 0.0000 0.0000  2 Ru 1.88

=====

It turns out 1 is the most stable, with the second structure 47.1 kJ/mol of atoms higher.